No. 1
Here is a relaxed HoTlSbTe3 crystal from OQMD via LeMat-Bulk. Energies are from PBE.

## Properties
- Crystal system: orthorhombic
- DFT total energy: -47.64 eV per cell
- Space-group type: Cmcm

Cell: 8.005 8.005 12.512 Å, 90.00 90.00 149.48°
Sites, in units of the cell vectors:
Te (0.141, 0.859, 0.510)
Te (0.859, 0.141, 0.010)
Te (0.141, 0.859, 0.990)
Te (0.466, 0.534, 0.750)
Te (0.859, 0.141, 0.490)
Te (0.534, 0.466, 0.250)
Tl (0.791, 0.209, 0.750)
Tl (0.209, 0.791, 0.250)
Ho (0.500, 0.500, 0.500)
Ho (0.500, 0.500, 0.000)
Sb (0.884, 0.116, 0.250)
Sb (0.116, 0.884, 0.750)

---

No. 2
Here is a relaxed Ho4TlSb2 crystal from OQMD via LeMat-Bulk. Energies are from PBE.

## Properties
- Crystal system: tetragonal
- DFT total energy: -30.07 eV per cell
- Space-group type: I4/mmm

Cell: 8.829 8.829 8.829 Å, 143.82 143.82 52.10°
Sites, in units of the cell vectors:
Tl (0.000, 0.000, 0.000)
Sb (0.371, 0.371, 0.000)
Sb (0.629, 0.629, 0.000)
Ho (0.500, 0.000, 0.500)
Ho (0.183, 0.183, 0.000)
Ho (0.000, 0.500, 0.500)
Ho (0.817, 0.817, 0.000)

---

No. 3
Here is a relaxed HoTm2Sb3 crystal from OQMD via LeMat-Bulk. Energies are from PBE.

## Properties
- Crystal system: trigonal
- DFT total energy: -32.39 eV per cell
- Space-group type: P-3m1

Cell: 4.340 4.340 10.630 Å, 90.00 90.00 120.00°
Sites, in units of the cell vectors:
Sb (0.000, 0.000, 0.000)
Sb (0.667, 0.333, 0.668)
Sb (0.333, 0.667, 0.332)
Ho (0.000, 0.000, 0.500)
Tm (0.333, 0.667, 0.834)
Tm (0.667, 0.333, 0.166)

---

> Which value of DFT total energy does entry 1 give?

-47.64 eV per cell

---

> Which of these has the highest DFT total energy?

Ho4TlSb2